KCu2Ir | PBE | relaxed

Properties
Formation energy from the elements, eV/atom: 0.73
Total moment, μB per formula unit: 0.00
Space-group type: I4_1/amd (141)

The structure in POSCAR format:
```
KCu2Ir
1.0
-2.511 2.511 8.170
2.511 -2.511 8.170
2.511 2.511 -8.170
K Cu Ir
2 4 2
Direct
0.375 0.625 0.750
0.625 0.375 0.250
0.000 0.000 0.000
0.000 0.000 0.500
0.000 0.500 0.000
0.500 0.000 0.500
0.125 0.875 0.250
0.875 0.125 0.750
```

---

Pr3HfO6 | PBE | relaxed

Properties
Total moment, μB per formula unit: 0.06
Space-group type: Cmc2_1 (36)
ΔE_f (raw), eV/atom: -3.210

The structure in POSCAR format:
```
Pr3HfO6
1.0
4.836 -5.738 0.000
4.836 5.738 0.000
0.000 0.000 5.753
Pr Hf O
6 2 12
Direct
0.104 0.896 0.500
0.194 0.406 0.549
0.406 0.194 0.049
0.594 0.806 0.549
0.806 0.594 0.049
0.896 0.104 0.000
0.342 0.658 0.063
0.658 0.342 0.563
0.106 0.601 0.230
0.139 0.166 0.276
0.166 0.139 0.776
0.281 0.719 0.735
0.399 0.894 0.230
0.484 0.516 0.315
0.516 0.484 0.815
0.601 0.106 0.730
0.719 0.281 0.235
0.834 0.861 0.276
0.861 0.834 0.776
0.894 0.399 0.730
```

---

NaNiN | PBE | relaxed

Properties
Total moment, μB per formula unit: 0.03
Space-group type: C2/m (12)
ΔE_f (raw), eV/atom: 0.107

The structure in POSCAR format:
```
NaNiN
1.0
4.532 -1.444 0.000
4.532 1.444 0.000
-0.792 0.000 5.982
Na Ni N
2 2 2
Direct
0.245 0.245 0.251
0.755 0.755 0.749
0.000 0.000 0.500
0.500 0.500 0.000
0.478 0.478 0.703
0.522 0.522 0.297
```

---

Dy5TmTh3 | PBE | relaxed

Properties
Formation energy from the elements, eV/atom: 0.36
Total moment, μB per formula unit: 0.00
Space-group type: C2/c (15)

The structure in POSCAR format:
```
Dy5TmTh3
1.0
9.267 -3.211 0.000
9.267 3.211 0.000
-5.547 0.000 10.288
Dy Tm Th
10 2 6
Direct
0.003 0.681 0.284
0.118 0.882 0.750
0.167 0.479 0.650
0.319 0.997 0.216
0.479 0.167 0.150
0.521 0.833 0.850
0.681 0.003 0.784
0.833 0.521 0.350
0.882 0.118 0.250
0.997 0.319 0.716
0.363 0.637 0.250
0.637 0.363 0.750
0.042 0.636 0.991
0.364 0.958 0.509
0.500 0.500 0.000
0.500 0.500 0.500
0.636 0.042 0.491
0.958 0.364 0.009
```

---

Pr4Dy2Y2Tm | PBE | relaxed

Properties
Formation energy from the elements, eV/atom: 0.02
Total moment, μB per formula unit: 0.00
Space-group type: C2/m (12)

The structure in POSCAR format:
```
Pr4Dy2Y2Tm
1.0
7.698 -2.560 0.000
7.698 2.560 0.000
-2.569 0.000 7.669
Pr Dy Y Tm
4 2 2 1
Direct
0.054 0.054 0.332
0.277 0.277 0.667
0.723 0.723 0.333
0.946 0.946 0.668
0.389 0.389 0.330
0.611 0.611 0.670
0.166 0.166 0.000
0.834 0.834 0.000
0.500 0.500 0.000
```

---

Pu2UGe2Pd2 | PBE | relaxed

Properties
Formation energy from the elements, eV/atom: -0.44
Total moment, μB per formula unit: 13.75
Space-group type: R-3m (166)

The structure in POSCAR format:
```
Pu2UGe2Pd2
1.0
2.329 1.344 7.731
-2.329 1.344 7.731
0.000 -2.689 7.731
Pu U Ge Pd
2 1 2 2
Direct
0.127 0.127 0.127
0.873 0.873 0.873
0.000 0.000 0.000
0.264 0.264 0.264
0.736 0.736 0.736
0.393 0.393 0.393
0.607 0.607 0.607
```

---

ReIrSN2 | PBE | relaxed

Properties
Total moment, μB per formula unit: 0.94
Space-group type: P4/mmm (123)
ΔE_f (raw), eV/atom: 1.062

The structure in POSCAR format:
```
ReIrSN2
1.0
3.759 0.000 0.000
0.000 3.759 0.000
0.000 0.000 5.215
Re Ir S N
1 1 1 2
Direct
0.000 0.000 0.000
0.500 0.500 0.500
0.000 0.000 0.500
0.000 0.500 0.000
0.500 0.000 0.000
```

---

Zr2GaCoW | PBE | relaxed

Properties
Formation energy from the elements, eV/atom: 0.43
Total moment, μB per formula unit: 0.00
Space-group type: P4/mmm (123)

The structure in POSCAR format:
```
Zr2GaCoW
1.0
4.833 0.000 0.000
0.000 4.833 0.000
0.000 0.000 4.405
Zr Ga Co W
2 1 1 1
Direct
0.000 0.500 0.000
0.500 0.000 0.000
0.000 0.000 0.500
0.500 0.500 0.000
0.500 0.500 0.500
```

---

ReBP2Cl | PBE | relaxed

Properties
Total moment, μB per formula unit: 0.54
Space-group type: P4/mmm (123)
ΔE_f (raw), eV/atom: 1.250

The structure in POSCAR format:
```
ReBP2Cl
1.0
4.017 0.000 0.000
0.000 4.017 0.000
0.000 0.000 4.204
Re B P Cl
1 1 2 1
Direct
0.000 0.000 0.000
0.500 0.500 0.500
0.000 0.500 0.500
0.500 0.000 0.500
0.500 0.500 0.000
```

---

ZrBi3Pt | PBE | relaxed

Properties
Formation energy from the elements, eV/atom: 0.79
Total moment, μB per formula unit: 0.00
Space-group type: Pm-3m (221)

The structure in POSCAR format:
```
ZrBi3Pt
1.0
5.566 0.000 0.000
0.000 5.566 0.000
0.000 0.000 5.566
Zr Bi Pt
1 3 1
Direct
0.000 0.000 0.000
0.000 0.000 0.500
0.000 0.500 0.000
0.500 0.000 0.000
0.500 0.500 0.500
```

---

AcNd5In3 | PBE | relaxed

Properties
Formation energy from the elements, eV/atom: -0.32
Total moment, μB per formula unit: 1.24
Space-group type: P6_3/mcm (193)

The structure in POSCAR format:
```
AcNd5In3
1.0
9.720 0.000 0.000
-4.860 8.417 0.000
0.000 0.000 7.055
Ac Nd In
2 10 6
Direct
0.000 0.000 0.000
0.000 0.000 0.500
0.000 0.336 0.250
0.000 0.664 0.750
0.333 0.667 0.000
0.333 0.667 0.500
0.336 0.000 0.250
0.336 0.336 0.750
0.664 0.000 0.750
0.664 0.664 0.250
0.667 0.333 0.000
0.667 0.333 0.500
0.000 0.337 0.750
0.000 0.663 0.250
0.337 0.000 0.750
0.337 0.337 0.250
0.663 0.000 0.250
0.663 0.663 0.750
```

---

Tl2PbAu2 | PBE | relaxed

Properties
Formation energy from the elements, eV/atom: -0.03
Total moment, μB per formula unit: 0.00
Space-group type: P-3m1 (164)

The structure in POSCAR format:
```
Tl2PbAu2
1.0
4.366 0.000 0.000
-2.183 3.781 0.000
0.000 0.000 8.772
Tl Pb Au
2 1 2
Direct
0.333 0.667 0.143
0.667 0.333 0.857
0.000 0.000 0.500
0.333 0.667 0.682
0.667 0.333 0.318
```

---

Ba2LaAu | PBE | relaxed

Properties
Formation energy from the elements, eV/atom: 0.00
Total moment, μB per formula unit: 0.01
Space-group type: I-4m2 (119)

The structure in POSCAR format:
```
Ba2LaAu
1.0
-2.486 2.486 6.020
2.486 -2.486 6.020
2.486 2.486 -6.020
Ba La Au
2 1 1
Direct
0.000 0.000 0.000
0.750 0.250 0.500
0.250 0.750 0.500
0.500 0.500 0.000
```

---

Ba3TbTl4 | PBE | relaxed

Properties
Formation energy from the elements, eV/atom: -0.37
Total moment, μB per formula unit: 0.00
Space-group type: P4/mmm (123)

The structure in POSCAR format:
```
Ba3TbTl4
1.0
4.118 0.000 0.000
0.000 4.118 0.000
0.000 0.000 17.058
Ba Tb Tl
3 1 4
Direct
0.000 0.000 0.000
0.000 0.000 0.263
0.000 0.000 0.737
0.000 0.000 0.500
0.500 0.500 0.128
0.500 0.500 0.401
0.500 0.500 0.599
0.500 0.500 0.872
```

---

RbCoRu | PBE | relaxed

Properties
Formation energy from the elements, eV/atom: 1.00
Total moment, μB per formula unit: 0.00
Space-group type: P-6m2 (187)

The structure in POSCAR format:
```
RbCoRu
1.0
3.771 0.000 0.000
-1.885 3.265 0.000
0.000 0.000 11.969
Rb Co Ru
2 2 2
Direct
0.000 0.000 0.000
0.000 0.000 0.500
0.667 0.333 0.223
0.667 0.333 0.777
0.333 0.667 0.270
0.333 0.667 0.730
```

---

KOsPb2 | PBE | relaxed

Properties
Formation energy from the elements, eV/atom: 1.00
Total moment, μB per formula unit: 0.00
Space-group type: C2/m (12)

The structure in POSCAR format:
```
KOsPb2
1.0
3.455 -5.390 0.000
3.455 5.390 0.000
-1.140 0.000 2.735
K Os Pb
1 1 2
Direct
0.000 0.000 0.000
0.500 0.500 0.000
0.000 0.500 0.500
0.500 0.000 0.500
```

---

CaPm4SmY2 | PBE | relaxed

Properties
Formation energy from the elements, eV/atom: 0.05
Total moment, μB per formula unit: 0.00
Space-group type: Pmmm (47)

The structure in POSCAR format:
```
CaPm4SmY2
1.0
5.162 0.000 0.000
0.000 5.182 0.000
0.000 0.000 10.263
Ca Pm Sm Y
1 4 1 2
Direct
0.000 0.000 0.000
0.000 0.500 0.256
0.000 0.500 0.744
0.500 0.000 0.256
0.500 0.000 0.744
0.500 0.500 0.500
0.000 0.000 0.500
0.500 0.500 0.000
```

---

SmDy2Tm5Th | PBE | relaxed

Properties
Formation energy from the elements, eV/atom: 0.31
Total moment, μB per formula unit: 0.00
Space-group type: I4/mcm (140)

The structure in POSCAR format:
```
SmDy2Tm5Th
1.0
-4.358 4.358 7.434
4.358 -4.358 7.434
4.358 4.358 -7.434
Sm Dy Tm Th
2 4 10 2
Direct
0.250 0.750 0.500
0.750 0.250 0.500
0.114 0.614 0.729
0.386 0.114 0.500
0.614 0.886 0.500
0.886 0.386 0.271
0.000 0.000 0.000
0.073 0.156 0.500
0.156 0.656 0.083
0.344 0.427 0.500
0.427 0.927 0.083
0.500 0.500 0.000
0.573 0.073 0.917
0.656 0.573 0.500
0.844 0.344 0.917
0.927 0.844 0.500
0.250 0.250 0.000
0.750 0.750 0.000
```

---

Na4SBr2 | PBE | relaxed

Properties
Total moment, μB per formula unit: 0.00
Space-group type: I4/mmm (139)
ΔE_f (raw), eV/atom: -1.253

The structure in POSCAR format:
```
Na4SBr2
1.0
-2.606 2.606 7.720
2.606 -2.606 7.720
2.606 2.606 -7.720
Na S Br
4 1 2
Direct
0.000 0.500 0.500
0.172 0.172 0.000
0.500 0.000 0.500
0.828 0.828 0.000
0.000 0.000 0.000
0.353 0.353 0.000
0.647 0.647 0.000
```

---

RbPrP2Pd4 | PBE | relaxed

Properties
Formation energy from the elements, eV/atom: -0.56
Total moment, μB per formula unit: 0.00
Space-group type: P4/mmm (123)

The structure in POSCAR format:
```
RbPrP2Pd4
1.0
4.178 0.000 0.000
0.000 4.178 0.000
0.000 0.000 10.868
Rb Pr P Pd
1 1 2 4
Direct
0.000 0.000 0.000
0.000 0.000 0.500
0.500 0.500 0.201
0.500 0.500 0.799
0.000 0.500 0.299
0.000 0.500 0.701
0.500 0.000 0.299
0.500 0.000 0.701
```

---

Tm8Ge3CS3 | PBE | relaxed

Properties
Total moment, μB per formula unit: 1.04
Space-group type: R-3m (166)
ΔE_f (raw), eV/atom: -1.163

The structure in POSCAR format:
```
Tm8Ge3CS3
1.0
3.905 2.255 6.545
-3.905 2.255 6.545
0.000 -4.509 6.545
Tm Ge C S
8 3 1 3
Direct
0.249 0.249 0.249
0.275 0.724 0.724
0.276 0.276 0.725
0.276 0.725 0.276
0.724 0.275 0.724
0.724 0.724 0.275
0.725 0.276 0.276
0.751 0.751 0.751
0.000 0.500 0.500
0.500 0.000 0.500
0.500 0.500 0.000
0.500 0.500 0.500
0.000 0.000 0.500
0.000 0.500 0.000
0.500 0.000 0.000
```

---

Pr2ErAs3 | PBE | relaxed

Properties
Formation energy from the elements, eV/atom: -1.48
Total moment, μB per formula unit: 0.00
Space-group type: I4/mmm (139)

The structure in POSCAR format:
```
Pr2ErAs3
1.0
-2.122 2.122 8.980
2.122 -2.122 8.980
2.122 2.122 -8.980
Pr Er As
2 1 3
Direct
0.166 0.166 0.000
0.834 0.834 0.000
0.500 0.500 0.000
0.000 0.000 0.000
0.337 0.337 0.000
0.663 0.663 0.000
```

---

ErTm2Cd4 | PBE | relaxed

Properties
Formation energy from the elements, eV/atom: 0.10
Total moment, μB per formula unit: 0.00
Space-group type: Cmmm (65)

The structure in POSCAR format:
```
ErTm2Cd4
1.0
2.937 -6.406 0.000
2.937 6.406 0.000
0.000 0.000 5.314
Er Tm Cd
1 2 4
Direct
0.000 0.000 0.000
0.356 0.644 0.500
0.644 0.356 0.500
0.114 0.886 0.500
0.240 0.760 0.000
0.760 0.240 0.000
0.886 0.114 0.500
```